# 1
DFT (PBE) results for a relaxed structure of PmHo14Pu.

a b c (Å): 7.055 7.055 9.932
angles (deg): 90.00 90.00 90.00
Space group P4/mmm (No. 123)
One atom of each set of equivalent atoms:
Pm (0.000, 0.000, 0.000) [1 per cell]
Ho (0.000, 0.000, 0.500) [1 per cell]
Ho (0.000, 0.500, 0.000) [2 per cell]
Ho (0.000, 0.500, 0.500) [2 per cell]
Ho (0.252, 0.252, 0.250) [8 per cell]
Ho (0.500, 0.500, 0.500) [1 per cell]
Pu (0.500, 0.500, 0.000) [1 per cell]



# 2
DFT (PBE) results for a relaxed structure of PmHoPu4.

a b c (Å): 8.745 8.745 8.745
angles (deg): 90.00 90.00 90.00
Space group F-43m (No. 216)
One atom of each set of equivalent atoms:
Pm (0.000, 0.000, 0.000) [4 per cell]
Ho (0.250, 0.250, 0.750) [4 per cell]
Pu (0.125, 0.125, 0.375) [16 per cell]



Number 1: total moment 6.170 μB/f.u., calculated volume 494 Å³/cell, calculated formation energy 0.039 eV per atom. Number 2: total moment 22.658 μB/f.u., calculated volume 669 Å³/cell, calculated formation energy 0.237 eV per atom.